DFT (PBE-GGA) results for a geometry-optimized LuUAs structure.

Properties
**Total magnetic moment**: 3.87 Bohr magnetons per cell
**DFT total energy**: -6.910 eV per atom
**Crystal system**: cubic
**Space group**: F-43m
**ΔE to the lowest computed polymorph**: 0.0 meV per atom

Structure (POSCAR):
```
LuUAs
1.0
0.000 3.379 3.379
3.379 0.000 3.379
3.379 3.379 0.000
Lu As U
1 1 1
Cartesian
1.690 1.690 1.690
0.000 0.000 0.000
5.069 5.069 5.069
```